Entry 1:
18
Lattice="6.6674 0.0000 0.0000 0.0000 8.2199 0.0000 -3.3337 -4.1100 5.4645" Properties=species:S:1:pos:R:3 comment="HoBeZn6Cu | Alexandria | GGA-PBE | optimized geometry" m_tot_mub_per_cell=0.0 total_energy_ev_per_atom=-2.1716 formation_energy_ev_per_atom=0.06 pbc="T T T"
Ho 3.3337 2.0550 2.1679
Ho 0.0000 2.0550 3.2966
Be 3.3337 0.0000 0.0000
Be 3.3337 4.1100 0.0000
Zn 5.3268 -0.0187 1.3389
Zn -1.9931 -0.0187 4.1255
Zn 0.0000 -2.0550 4.5798
Zn 3.3337 2.0550 5.3979
Zn 5.3268 4.1286 1.3389
Zn 1.3406 -0.0187 1.3389
Zn 0.0000 2.0550 0.0665
Zn 1.3406 4.1286 1.3389
Zn 3.3337 6.1650 0.8847
Zn 1.9931 4.1286 4.1255
Zn 1.9931 -0.0187 4.1255
Zn -1.9931 4.1286 4.1255
Cu -1.6669 -2.0550 2.7322
Cu 1.6669 -2.0550 2.7322

=====

Entry 2:
2
Lattice="-2.2485 -0.3379 3.3487 -3.2553 -0.8050 -2.2670 0.8552 -3.9524 0.1755" Properties=species:S:1:pos:R:3 comment="EuBi | Alexandria | GGA-PBE | optimized geometry" m_tot_mub_per_cell=7.0 total_energy_ev_per_atom=-7.8183 formation_energy_ev_per_atom=-0.74 pbc="T T T"
Eu -2.3243 -2.5477 0.6286
Bi 0.0000 0.0000 0.0000

=====

Entry 3:
5
Lattice="4.4650 0.0000 0.0000 2.2325 5.5002 -0.0866 2.2325 1.7380 5.2191" Properties=species:S:1:pos:R:3 comment="PrSm2Si2 | Alexandria | GGA-PBE | optimized geometry" m_tot_mub_per_cell=0.0 total_energy_ev_per_atom=-5.5927 e_form_raw_ev_per_atom=-0.580 pbc="T T T"
Si 4.4650 4.3296 1.5643
Si 4.4650 2.9086 3.5682
Sm 2.2325 2.1637 1.5342
Sm 6.6974 5.0745 3.5983
Pr 0.0000 0.0000 0.0000